(1)
First-principles (GGA-PBE) data for a geometry-optimized SrInPd4 structure, as listed in Alexandria.

Computed properties:
The value obtained for the energy is -4.697 eV per atom. The formation energy from the elements is -0.50 eV per atom. The space group is No. 216. The energy relative to the lowest polymorph listed for this composition is 0.0 meV/atom.

Lattice parameters (Å, degrees): 5.4805 5.4805 5.4805 60.00 60.00 60.00
Positions (direct):
Sr 0.0000 0.0000 0.0000
In 0.2500 0.2500 0.2500
Pd 0.1271 0.6243 0.6243
Pd 0.6243 0.1271 0.6243
Pd 0.6243 0.6243 0.1271
Pd 0.6243 0.6243 0.6243



(2)
First-principles (GGA-PBE) data for a geometry-optimized Sr3In8Pd3 structure, as listed in Alexandria.

Computed properties:
The value obtained for the energy is -3.531 eV per atom. The formation energy from the elements is -0.49 eV per atom. The space group is No. 12. The energy relative to the lowest polymorph listed for this composition is 0.0 meV/atom.

Lattice parameters (Å, degrees): 9.0778 9.0778 9.7190 122.01 122.01 31.68
Positions (direct):
Sr 0.0000 0.0000 0.0000
Sr 0.2831 0.2831 0.2859
Sr 0.7169 0.7169 0.7141
In 0.1369 0.1369 0.4334
In 0.1472 0.1472 0.8545
In 0.3489 0.3489 0.7306
In 0.4930 0.4930 0.3281
In 0.5070 0.5070 0.6719
In 0.6511 0.6511 0.2694
In 0.8528 0.8528 0.1455
In 0.8631 0.8631 0.5666
Pd 0.0000 0.0000 0.5000
Pd 0.3428 0.3428 0.0054
Pd 0.6572 0.6572 0.9946



(3)
First-principles (GGA-PBE) data for a geometry-optimized SrIn3Pd3 structure, as listed in Alexandria.

Computed properties:
The value obtained for the energy is -4.133 eV per atom. The formation energy from the elements is -0.49 eV per atom. The space group is No. 176. The energy relative to the lowest polymorph listed for this composition is 0.0 meV/atom.

Lattice parameters (Å, degrees): 9.1956 9.1956 4.5170 90.00 90.00 120.00
Positions (direct):
Sr 0.3333 0.6667 0.2500
Sr 0.6667 0.3333 0.7500
In 0.0504 0.2973 0.7500
In 0.2469 0.9496 0.7500
In 0.2973 0.2469 0.2500
In 0.7027 0.7531 0.7500
In 0.7531 0.0504 0.2500
In 0.9496 0.7027 0.2500
Pd 0.0461 0.6099 0.7500
Pd 0.3901 0.4362 0.7500
Pd 0.4362 0.0461 0.2500
Pd 0.5638 0.9539 0.7500
Pd 0.6099 0.5638 0.2500
Pd 0.9539 0.3901 0.2500



(4)
First-principles (GGA-PBE) data for a geometry-optimized Sr2InPd3 structure, as listed in Alexandria.

Computed properties:
The value obtained for the energy is -4.241 eV per atom. The formation energy from the elements is -0.63 eV per atom. The space group is No. 194.

Lattice parameters (Å, degrees): 5.8992 5.8992 8.9305 90.00 90.00 120.00
Positions (direct):
Sr 0.3333 0.6667 0.0650
Sr 0.3333 0.6667 0.4350
Sr 0.6667 0.3333 0.5650
Sr 0.6667 0.3333 0.9350
In 0.0000 0.0000 0.0000
In 0.0000 0.0000 0.5000
Pd 0.1710 0.3419 0.7500
Pd 0.1710 0.8290 0.7500
Pd 0.3419 0.1710 0.2500
Pd 0.6581 0.8290 0.7500
Pd 0.8290 0.1710 0.2500
Pd 0.8290 0.6581 0.2500



(5)
First-principles (GGA-PBE) data for a geometry-optimized SrIn7Pd5 structure, as listed in Alexandria.

Computed properties:
The value obtained for the energy is -4.072 eV per atom. The formation energy from the elements is -0.47 eV per atom. The space group is No. 44.

Lattice parameters (Å, degrees): 7.4158 7.4158 7.4158 133.95 97.15 100.45
Positions (direct):
Sr 0.0000 0.0000 0.0000
In 0.1825 0.4842 0.6983
In 0.2334 0.7334 0.5000
In 0.3532 0.3532 0.0000
In 0.3576 0.0150 0.3426
In 0.6624 0.6624 0.0000
In 0.6724 0.0150 0.6574
In 0.7858 0.4842 0.3017
Pd 0.0059 0.4986 0.0140
Pd 0.0059 0.9918 0.5072
Pd 0.4846 0.4986 0.4928
Pd 0.4846 0.9918 0.9860
Pd 0.7684 0.2684 0.5000



(6)
First-principles (GGA-PBE) data for a geometry-optimized Sr12InPd5 structure, as listed in Alexandria.

Computed properties:
The value obtained for the energy is -3.129 eV per atom. The formation energy from the elements is -0.41 eV per atom. The space group is No. 71.

Lattice parameters (Å, degrees): 9.4057 9.4057 9.4057 114.70 109.77 104.12
Positions (direct):
Sr 0.0456 0.2319 0.8137
Sr 0.1742 0.2858 0.4600
Sr 0.1742 0.7142 0.8883
Sr 0.3392 0.0213 0.6821
Sr 0.3392 0.6571 0.3179
Sr 0.4183 0.2319 0.1863
Sr 0.5817 0.7681 0.8137
Sr 0.6608 0.3429 0.6821
Sr 0.6608 0.9787 0.3179
Sr 0.8258 0.2858 0.1117
Sr 0.8258 0.7142 0.5400
Sr 0.9544 0.7681 0.1863
In 0.5000 0.5000 0.0000
Pd 0.0000 0.0000 0.0000
Pd 0.1235 0.6235 0.5000
Pd 0.3230 0.0000 0.3230
Pd 0.6770 0.0000 0.6770
Pd 0.8765 0.3765 0.5000



(7)
First-principles (GGA-PBE) data for a geometry-optimized SrIn3Pd structure, as listed in Alexandria.

Computed properties:
The value obtained for the energy is -3.324 eV per atom. The formation energy from the elements is -0.31 eV per atom. The space group is No. 221.

Lattice parameters (Å, degrees): 5.2373 5.2373 5.2373 90.00 90.00 90.00
Positions (direct):
Sr 0.0000 0.0000 0.0000
In 0.0000 0.5000 0.5000
In 0.5000 0.0000 0.5000
In 0.5000 0.5000 0.0000
Pd 0.5000 0.5000 0.5000



(8)
First-principles (GGA-PBE) data for a geometry-optimized SrIn4Pd4 structure, as listed in Alexandria.

Computed properties:
The value obtained for the energy is -4.198 eV per atom. The formation energy from the elements is -0.49 eV per atom. The space group is No. 137. The energy relative to the lowest polymorph listed for this composition is 0.0 meV/atom.

Lattice parameters (Å, degrees): 6.4001 6.4001 9.5953 90.00 90.00 90.00
Positions (direct):
Sr 0.2500 0.7500 0.2500
Sr 0.7500 0.2500 0.7500
In 0.0256 0.2500 0.0559
In 0.2500 0.0256 0.5559
In 0.2500 0.4744 0.5559
In 0.4744 0.2500 0.0559
In 0.5256 0.7500 0.9441
In 0.7500 0.5256 0.4441
In 0.7500 0.9744 0.4441
In 0.9744 0.7500 0.9441
Pd 0.0333 0.2500 0.3425
Pd 0.2500 0.0333 0.8425
Pd 0.2500 0.4667 0.8425
Pd 0.4667 0.2500 0.3425
Pd 0.5333 0.7500 0.6575
Pd 0.7500 0.5333 0.1575
Pd 0.7500 0.9667 0.1575
Pd 0.9667 0.7500 0.6575



(9)
First-principles (GGA-PBE) data for a geometry-optimized Sr2InPd structure, as listed in Alexandria.

Computed properties:
The value obtained for the energy is -2.975 eV per atom. The formation energy from the elements is -0.15 eV per atom. The space group is No. 166.

Lattice parameters (Å, degrees): 10.8290 10.8290 10.8290 22.07 22.07 22.07
Positions (direct):
Sr 0.1095 0.1095 0.1095
Sr 0.8905 0.8905 0.8905
In 0.0000 0.0000 0.0000
Pd 0.5000 0.5000 0.5000



(10)
First-principles (GGA-PBE) data for a geometry-optimized Sr2In12Pd structure, as listed in Alexandria.

Computed properties:
The value obtained for the energy is -3.021 eV per atom. The formation energy from the elements is -0.26 eV per atom. The space group is No. 125.

Lattice parameters (Å, degrees): 6.7931 6.7931 17.9783 90.00 90.00 90.00
Positions (direct):
Sr 0.2500 0.7500 0.2472
Sr 0.2500 0.7500 0.7528
Sr 0.7500 0.2500 0.2472
Sr 0.7500 0.2500 0.7528
In 0.9999 0.0001 0.0847
In 0.0001 0.9999 0.9153
In 0.0001 0.5001 0.0847
In 0.9999 0.4999 0.9153
In 0.0831 0.5831 0.4309
In 0.0831 0.9169 0.5691
In 0.2500 0.2500 0.1856
In 0.2500 0.2500 0.3424
In 0.2500 0.2500 0.6576
In 0.2500 0.2500 0.8144
In 0.4169 0.5831 0.5691
In 0.4169 0.9169 0.4309
In 0.4999 0.9999 0.0847
In 0.5001 0.0001 0.9153
In 0.5001 0.4999 0.0847
In 0.4999 0.5001 0.9153
In 0.5831 0.0831 0.5691
In 0.5831 0.4169 0.4309
In 0.7500 0.7500 0.1856
In 0.7500 0.7500 0.3424
In 0.7500 0.7500 0.6576
In 0.7500 0.7500 0.8144
In 0.9169 0.0831 0.4309
In 0.9169 0.4169 0.5691
Pd 0.2500 0.7500 0.0000
Pd 0.7500 0.2500 0.0000



(11)
First-principles (GGA-PBE) data for a geometry-optimized Sr2InPd structure, as listed in Alexandria.

Computed properties:
The value obtained for the energy is -3.026 eV per atom. The formation energy from the elements is -0.20 eV per atom. The space group is No. 122.

Lattice parameters (Å, degrees): 7.0886 7.0886 7.0886 104.17 104.17 120.68
Positions (direct):
Sr 0.0759 0.1250 0.4509
Sr 0.3750 0.9241 0.0491
Sr 0.6741 0.6250 0.5491
Sr 0.8750 0.3259 0.9509
In 0.2500 0.7500 0.5000
In 0.5000 0.5000 0.0000
Pd 0.0000 0.0000 0.0000
Pd 0.7500 0.2500 0.5000



(12)
First-principles (GGA-PBE) data for a geometry-optimized Sr3In6Pd5 structure, as listed in Alexandria.

Computed properties:
The value obtained for the energy is -3.986 eV per atom. The formation energy from the elements is -0.60 eV per atom. The space group is No. 59.

Lattice parameters (Å, degrees): 4.5381 14.0013 10.3011 90.00 90.00 90.00
Positions (direct):
Sr 0.2500 0.0554 0.2477
Sr 0.2500 0.4446 0.2477
Sr 0.2500 0.7500 0.2753
Sr 0.7500 0.2500 0.7247
Sr 0.7500 0.5554 0.7523
Sr 0.7500 0.9446 0.7523
In 0.2500 0.0673 0.5850
In 0.2500 0.2500 0.0309
In 0.2500 0.2500 0.4144
In 0.2500 0.4327 0.5850
In 0.2500 0.5949 0.9865
In 0.2500 0.9051 0.9865
In 0.7500 0.0949 0.0135
In 0.7500 0.4051 0.0135
In 0.7500 0.5673 0.4150
In 0.7500 0.7500 0.5856
In 0.7500 0.7500 0.9691
In 0.7500 0.9327 0.4150
Pd 0.2500 0.0920 0.8591
Pd 0.2500 0.4080 0.8591
Pd 0.2500 0.6371 0.5501
Pd 0.2500 0.7500 0.7934
Pd 0.2500 0.8629 0.5501
Pd 0.7500 0.1371 0.4499
Pd 0.7500 0.2500 0.2066
Pd 0.7500 0.3629 0.4499
Pd 0.7500 0.5920 0.1409
Pd 0.7500 0.9080 0.1409



(13)
First-principles (GGA-PBE) data for a geometry-optimized SrIn2Pd2 structure, as listed in Alexandria.

Computed properties:
The value obtained for the energy is -3.991 eV per atom. The formation energy from the elements is -0.48 eV per atom. The space group is No. 127.

Lattice parameters (Å, degrees): 8.1549 8.1549 3.2650 90.00 90.00 90.00
Positions (direct):
Sr 0.0000 0.0000 0.0000
Sr 0.5000 0.5000 0.0000
In 0.1442 0.3558 0.5000
In 0.3558 0.8558 0.5000
In 0.6442 0.1442 0.5000
In 0.8558 0.6442 0.5000
Pd 0.1477 0.6477 0.0000
Pd 0.3523 0.1477 0.0000
Pd 0.6477 0.8523 0.0000
Pd 0.8523 0.3523 0.0000



(14)
First-principles (GGA-PBE) data for a geometry-optimized SrIn4Pd4 structure, as listed in Alexandria.

Computed properties:
The value obtained for the energy is -4.152 eV per atom. The formation energy from the elements is -0.44 eV per atom. The space group is No. 86. The energy relative to the lowest polymorph listed for this composition is 45.2 meV/atom.

Lattice parameters (Å, degrees): 9.0761 9.0761 5.3606 90.00 90.00 90.00
Positions (direct):
Sr 0.2500 0.2500 0.2500
Sr 0.7500 0.7500 0.7500
In 0.1061 0.6273 0.1641
In 0.1273 0.8939 0.6641
In 0.3727 0.6061 0.6641
In 0.3939 0.8727 0.1641
In 0.6061 0.1273 0.8359
In 0.6273 0.3939 0.3359
In 0.8727 0.1061 0.3359
In 0.8939 0.3727 0.8359
Pd 0.0718 0.5934 0.6664
Pd 0.0934 0.9282 0.1664
Pd 0.4066 0.5718 0.1664
Pd 0.4282 0.9066 0.6664
Pd 0.5718 0.0934 0.3336
Pd 0.5934 0.4282 0.8336
Pd 0.9066 0.0718 0.8336
Pd 0.9282 0.4066 0.3336



(15)
First-principles (GGA-PBE) data for a geometry-optimized SrIn3Pd structure, as listed in Alexandria.

Computed properties:
The value obtained for the energy is -3.507 eV per atom. The formation energy from the elements is -0.49 eV per atom. The space group is No. 62.

Lattice parameters (Å, degrees): 9.1459 4.6085 12.1378 90.00 90.00 90.00
Positions (direct):
Sr 0.1918 0.2500 0.0047
Sr 0.3082 0.7500 0.5047
Sr 0.6918 0.2500 0.4953
Sr 0.8082 0.7500 0.9953
In 0.0592 0.2500 0.5871
In 0.1085 0.7500 0.7960
In 0.1407 0.7500 0.2128
In 0.3593 0.2500 0.7128
In 0.3915 0.2500 0.2960
In 0.4408 0.7500 0.0871
In 0.5592 0.2500 0.9129
In 0.6085 0.7500 0.7040
In 0.6407 0.7500 0.2872
In 0.8593 0.2500 0.7872
In 0.8915 0.2500 0.2040
In 0.9408 0.7500 0.4129
Pd 0.1068 0.2500 0.3587
Pd 0.3932 0.7500 0.8587
Pd 0.6068 0.2500 0.1413
Pd 0.8932 0.7500 0.6413



(16)
First-principles (GGA-PBE) data for a geometry-optimized SrIn5Pd7 structure, as listed in Alexandria.

Computed properties:
The value obtained for the energy is -4.381 eV per atom. The formation energy from the elements is -0.40 eV per atom. The space group is No. 44.

Lattice parameters (Å, degrees): 7.2266 7.2266 7.2266 131.68 96.86 102.45
Positions (direct):
Sr 0.0000 0.0000 0.0000
In 0.0107 0.4995 0.0182
In 0.0107 0.9925 0.5112
In 0.4813 0.4995 0.4888
In 0.4813 0.9925 0.9818
In 0.7812 0.2812 0.5000
Pd 0.2122 0.4913 0.7209
Pd 0.2161 0.7161 0.5000
Pd 0.3475 0.3475 0.0000
Pd 0.3530 0.0044 0.3485
Pd 0.6559 0.0044 0.6515
Pd 0.6590 0.6590 0.0000
Pd 0.7704 0.4913 0.2791



(17)
First-principles (GGA-PBE) data for a geometry-optimized SrInPd structure, as listed in Alexandria.

Computed properties:
The value obtained for the energy is -3.863 eV per atom. The formation energy from the elements is -0.66 eV per atom. The space group is No. 62.

Lattice parameters (Å, degrees): 7.6357 4.6372 8.6268 90.00 90.00 90.00
Positions (direct):
Sr 0.0313 0.2500 0.1797
Sr 0.4687 0.7500 0.6797
Sr 0.5313 0.2500 0.3203
Sr 0.9687 0.7500 0.8203
In 0.1466 0.2500 0.5638
In 0.3534 0.7500 0.0638
In 0.6466 0.2500 0.9362
In 0.8534 0.7500 0.4362
Pd 0.2216 0.7500 0.3785
Pd 0.2784 0.2500 0.8785
Pd 0.7216 0.7500 0.1215
Pd 0.7784 0.2500 0.6215



(18)
First-principles (GGA-PBE) data for a geometry-optimized SrIn2Pd2 structure, as listed in Alexandria.

Computed properties:
The value obtained for the energy is -4.080 eV per atom. The formation energy from the elements is -0.57 eV per atom. The space group is No. 139.

Lattice parameters (Å, degrees): 6.6767 6.6767 6.6767 140.37 140.37 57.29
Positions (direct):
Sr 0.0000 0.0000 0.0000
In 0.2500 0.7500 0.5000
In 0.7500 0.2500 0.5000
Pd 0.3847 0.3847 0.0000
Pd 0.6153 0.6153 0.0000



(19)
First-principles (GGA-PBE) data for a geometry-optimized SrInPd structure, as listed in Alexandria.

Computed properties:
The value obtained for the energy is -3.713 eV per atom. The formation energy from the elements is -0.51 eV per atom. The space group is No. 107.

Lattice parameters (Å, degrees): 6.2649 6.2649 6.2649 146.18 146.18 48.58
Positions (direct):
Sr 0.0000 0.0000 0.0000
In 0.2911 0.2911 0.0000
Pd 0.6876 0.6876 0.0000